MnIrOs after structural relaxation, computed with GGA-PBE.

The uncorrected energy is -29.004 eV/cell. The distance to the lowest polymorph of the same formula comes out at 27 kJ/mol of formula units. Its symmetry is P-6m2. The crystal system is hexagonal.

abc: 4.211 4.211 2.673
angles: 90.00 90.00 120.00
Atoms (fractional coordinates):
Mn: 0.000 0.000 0.000
Ir: 0.667 0.333 0.000
Os: 0.333 0.667 0.500